IrOs2Ru (PBEsol, relaxed); energy of formation = 0.07 eV per atom; volume = 55 Å³ per cell; energy above the lowest structure with this stoichiometry = 0.015 eV per atom; DOS at the Fermi energy = 3.754 states/eV per cell
1.0
2.695 0.000 0.000
1.348 2.334 0.000
1.348 0.778 8.797
Ru Ir Os
1 1 2
direct
0.499 0.499 0.502 Ru
0.250 0.250 0.251 Ir
0.001 0.001 0.998 Os
0.750 0.750 0.749 Os